[1]
# CoCu2Os | Alexandria via LeMat-Bulk | PBE | optimized geometry
data_CoCu2Os
_cell_length_a 4.6371
_cell_length_b 4.6371
_cell_length_c 4.6371
_cell_angle_alpha 134.53
_cell_angle_beta 134.53
_cell_angle_gamma 66.27
_symmetry_space_group_name_H-M 'P 1'
_symmetry_Int_Tables_number 1
loop_
_symmetry_equiv_pos_as_xyz
'x,y,z'
loop_
_atom_site_label
_atom_site_type_symbol
_atom_site_fract_x
_atom_site_fract_y
_atom_site_fract_z
_atom_site_occupancy
Cu1 Cu 0.0000 0.0000 0.0000 1
Co1 Co 0.7500 0.2500 0.5000 1
Os1 Os 0.2500 0.7500 0.5000 1
Cu2 Cu 0.5000 0.5000 0.0000 1
# **ΔH_f (0 K)**: 0.385 eV/atom
# **Polymorph energy (0 for the lowest one)**: 0.846 eV per formula unit

[2]
# KMgInNi2 | Alexandria via LeMat-Bulk | PBE | optimized geometry
data_KMgInNi2
_cell_length_a 4.7521
_cell_length_b 5.6606
_cell_length_c 4.7521
_cell_angle_alpha 90.00
_cell_angle_beta 90.00
_cell_angle_gamma 90.00
_symmetry_space_group_name_H-M 'P 1'
_symmetry_Int_Tables_number 1
loop_
_symmetry_equiv_pos_as_xyz
'x,y,z'
loop_
_atom_site_label
_atom_site_type_symbol
_atom_site_fract_x
_atom_site_fract_y
_atom_site_fract_z
_atom_site_occupancy
K1 K 0.0000 0.0000 0.0000 1
Mg1 Mg 0.5000 0.5000 0.5000 1
In1 In 0.0000 0.5000 0.0000 1
Ni1 Ni 0.0000 0.0000 0.5000 1
Ni2 Ni 0.5000 0.0000 0.0000 1
# **ΔH_f (0 K)**: 1.524 eV/atom

[3]
# ScSi2N | Alexandria via LeMat-Bulk | PBE | optimized geometry
data_ScSi2N
_cell_length_a 5.9969
_cell_length_b 5.9969
_cell_length_c 5.4204
_cell_angle_alpha 56.41
_cell_angle_beta 56.41
_cell_angle_gamma 90.00
_symmetry_space_group_name_H-M 'P 1'
_symmetry_Int_Tables_number 1
loop_
_symmetry_equiv_pos_as_xyz
'x,y,z'
loop_
_atom_site_label
_atom_site_type_symbol
_atom_site_fract_x
_atom_site_fract_y
_atom_site_fract_z
_atom_site_occupancy
Sc1 Sc 0.0000 0.0000 0.0000 1
N1 N 0.2500 0.7500 0.5000 1
Sc2 Sc 0.7500 0.2500 0.5000 1
Si1 Si 0.8750 0.7648 0.7500 1
Si2 Si 0.5148 0.1250 0.2500 1
Si3 Si 0.3750 0.4852 0.7500 1
N2 N 0.5000 0.5000 0.0000 1
Si4 Si 0.2352 0.6250 0.2500 1
# **ΔE_f (raw)**: -75 meV per atom

[4]
# Cd4Ag5Hg | Alexandria via LeMat-Bulk | PBE | optimized geometry
data_Cd4Ag5Hg
_cell_length_a 5.8821
_cell_length_b 6.7531
_cell_length_c 6.7531
_cell_angle_alpha 79.07
_cell_angle_beta 64.18
_cell_angle_gamma 64.18
_symmetry_space_group_name_H-M 'P 1'
_symmetry_Int_Tables_number 1
loop_
_symmetry_equiv_pos_as_xyz
'x,y,z'
loop_
_atom_site_label
_atom_site_type_symbol
_atom_site_fract_x
_atom_site_fract_y
_atom_site_fract_z
_atom_site_occupancy
Ag1 Ag 0.6800 0.0000 0.0000 1
Ag2 Ag 0.6947 0.1378 0.3607 1
Ag3 Ag 0.1933 0.8622 0.6393 1
Cd1 Cd 0.5260 0.6084 0.2568 1
Ag4 Ag 0.8326 0.3607 0.8622 1
Ag5 Ag 0.0554 0.6393 0.1378 1
Cd2 Cd 0.1343 0.2568 0.3916 1
Hg1 Hg 0.2201 0.0000 0.0000 1
Cd3 Cd 0.7828 0.7432 0.6084 1
Cd4 Cd 0.3912 0.3916 0.7432 1
# **ΔH_f (0 K)**: 0.121 eV/atom
# **Polymorph energy (0 for the lowest one)**: 1.452 eV per formula unit

[5]
# PrMnCu10 | Alexandria via LeMat-Bulk | PBE | optimized geometry
data_PrMnCu10
_cell_length_a 8.2484
_cell_length_b 8.2484
_cell_length_c 4.9708
_cell_angle_alpha 90.00
_cell_angle_beta 90.00
_cell_angle_gamma 89.99
_symmetry_space_group_name_H-M 'P 1'
_symmetry_Int_Tables_number 1
loop_
_symmetry_equiv_pos_as_xyz
'x,y,z'
loop_
_atom_site_label
_atom_site_type_symbol
_atom_site_fract_x
_atom_site_fract_y
_atom_site_fract_z
_atom_site_occupancy
Cu1 Cu 0.3217 0.6783 0.2392 1
Pr1 Pr 0.0000 0.5000 0.0000 1
Cu2 Cu 0.8228 0.8228 0.2387 1
Cu3 Cu 0.5000 0.5000 0.5000 1
Cu4 Cu 0.7116 0.0660 0.5000 1
Cu5 Cu 0.6783 0.3217 0.2392 1
Cu6 Cu 0.1772 0.1772 0.2387 1
Cu7 Cu 0.0660 0.7116 0.5000 1
Cu8 Cu 0.6783 0.3217 0.7608 1
Cu9 Cu 0.1120 0.8880 0.0000 1
Mn1 Mn 0.6167 0.6167 0.0000 1
Cu10 Cu 0.4339 0.2093 0.5000 1
Cu11 Cu 0.2093 0.4339 0.5000 1
Cu12 Cu 0.8880 0.1120 0.0000 1
Cu13 Cu 0.5661 0.7907 0.5000 1
Cu14 Cu 0.9340 0.2884 0.5000 1
Mn2 Mn 0.3833 0.3833 0.0000 1
Cu15 Cu 0.8228 0.8228 0.7613 1
Cu16 Cu 0.2884 0.9340 0.5000 1
Cu17 Cu 0.3217 0.6783 0.7608 1
Pr2 Pr 0.5000 0.0000 0.0000 1
Cu18 Cu 0.7907 0.5661 0.5000 1
Cu19 Cu 0.1772 0.1772 0.7613 1
Cu20 Cu 0.0000 0.0000 0.5000 1
# **ΔH_f (0 K)**: -0.037 eV/atom

[6]
# Pr2Mg3Cd | Alexandria via LeMat-Bulk | PBE | optimized geometry
data_Pr2Mg3Cd
_cell_length_a 6.2637
_cell_length_b 6.2637
_cell_length_c 9.7172
_cell_angle_alpha 100.89
_cell_angle_beta 100.89
_cell_angle_gamma 114.45
_symmetry_space_group_name_H-M 'P 1'
_symmetry_Int_Tables_number 1
loop_
_symmetry_equiv_pos_as_xyz
'x,y,z'
loop_
_atom_site_label
_atom_site_type_symbol
_atom_site_fract_x
_atom_site_fract_y
_atom_site_fract_z
_atom_site_occupancy
Mg1 Mg 0.1675 0.1675 0.3349 1
Mg2 Mg 0.3358 0.8315 0.1673 1
Pr1 Pr 0.2500 0.7500 0.5000 1
Pr2 Pr 0.2515 0.2515 0.0000 1
Mg3 Mg 0.1685 0.6642 0.8327 1
Pr3 Pr 0.7500 0.2500 0.5000 1
Cd1 Cd 0.6667 0.6667 0.3333 1
Mg4 Mg 0.8325 0.8325 0.6651 1
Mg5 Mg 0.8315 0.3358 0.1673 1
Cd2 Cd 0.3333 0.3333 0.6667 1
Mg6 Mg 0.6642 0.1685 0.8327 1
Pr4 Pr 0.7485 0.7485 0.0000 1
# **ΔH_f (0 K)**: -0.177 eV/atom
# **Polymorph energy (0 for the lowest one)**: 0.000 eV per formula unit

[7]
# Dy2ErGa | Alexandria via LeMat-Bulk | PBE | optimized geometry
data_Dy2ErGa
_cell_length_a 3.5071
_cell_length_b 3.5071
_cell_length_c 8.8699
_cell_angle_alpha 90.00
_cell_angle_beta 90.00
_cell_angle_gamma 90.00
_symmetry_space_group_name_H-M 'P 1'
_symmetry_Int_Tables_number 1
loop_
_symmetry_equiv_pos_as_xyz
'x,y,z'
loop_
_atom_site_label
_atom_site_type_symbol
_atom_site_fract_x
_atom_site_fract_y
_atom_site_fract_z
_atom_site_occupancy
Dy1 Dy 0.0000 0.0000 0.7891 1
Ga1 Ga 0.5000 0.5000 0.0000 1
Dy2 Dy 0.0000 0.0000 0.2109 1
Er1 Er 0.5000 0.5000 0.5000 1
# **ΔH_f (0 K)**: -0.271 eV/atom
# **Polymorph energy (0 for the lowest one)**: 0.031 eV per formula unit

[8]
# Zn4RhW | Alexandria via LeMat-Bulk | PBE | optimized geometry
data_Zn4RhW
_cell_length_a 4.9206
_cell_length_b 4.9206
_cell_length_c 4.9206
_cell_angle_alpha 60.00
_cell_angle_beta 60.00
_cell_angle_gamma 60.00
_symmetry_space_group_name_H-M 'P 1'
_symmetry_Int_Tables_number 1
loop_
_symmetry_equiv_pos_as_xyz
'x,y,z'
loop_
_atom_site_label
_atom_site_type_symbol
_atom_site_fract_x
_atom_site_fract_y
_atom_site_fract_z
_atom_site_occupancy
Zn1 Zn 0.8768 0.3744 0.3744 1
Zn2 Zn 0.3744 0.3744 0.3744 1
Zn3 Zn 0.3744 0.3744 0.8768 1
W1 W 0.0000 0.0000 0.0000 1
Rh1 Rh 0.7500 0.7500 0.7500 1
Zn4 Zn 0.3744 0.8768 0.3744 1
# **ΔH_f (0 K)**: 0.167 eV/atom

no.,calculated volume (A^3/atom),VASP energy (eV/atom)
1,12.47,-6.247
2,25.57,-1.875
3,15.18,-6.451
4,21.74,-1.701
5,14.09,-4.612
6,27.10,-2.720
7,27.28,-4.470
8,14.04,-4.066